# 1
VASP calculation (PBE) on a relaxed structure of TaNi2Cl.

Energy relative to the elements, uncorrected ... 0.6104 eV per atom
Fermi-level density of states ... 10.17 states/eV per cell
ΔE to the lowest computed polymorph ... 679.4 meV per atom
Energy ... -5.705 eV per atom

Unit cell a=6.171 b=6.171 c=6.171 alpha=90.00 beta=90.00 gamma=90.00
Space group Fm-3m (No. 225)
Asymmetric unit:
Ta  0.000  0.000  0.000 [4 per cell]
Ni  0.250  0.250  0.250 [8 per cell]
Cl  0.000  0.000  0.500 [4 per cell]


# 2
VASP calculation (PBE) on a relaxed structure of TaNi2Cl.

Energy relative to the elements, uncorrected ... 0.0092 eV per atom
Fermi-level density of states ... 4.69 states/eV per cell
ΔE to the lowest computed polymorph ... 78.2 meV per atom
Energy ... -6.306 eV per atom

Unit cell a=3.1716 b=3.1716 c=21.7630 alpha=90.00 beta=90.00 gamma=120.00
Space group R-3m (No. 166, hexagonal axes)
Asymmetric unit:
Ta  0.0000  0.0000  0.0000 [3 per cell]
Ni  0.0000  0.0000  0.2540 [6 per cell]
Cl  0.0000  0.0000  0.5000 [3 per cell]


# 3
VASP calculation (PBE) on a relaxed structure of Ta2NiCl.

Energy relative to the elements, uncorrected ... -0.0137 eV per atom
Fermi-level density of states ... 3.49 states/eV per cell
ΔE to the lowest computed polymorph ... 18.4 meV per atom
Energy ... -7.847 eV per atom

Unit cell a=2.915 b=2.915 c=8.563 alpha=90.00 beta=90.00 gamma=90.00
Space group P4mm (No. 99)
Asymmetric unit:
Ta  0.000  0.000  0.000 [1 per cell]
Ta  0.500  0.500  0.259 [1 per cell]
Ni  0.500  0.500  0.811 [1 per cell]
Cl  0.000  0.000  0.460 [1 per cell]


# 4
VASP calculation (PBE) on a relaxed structure of TaNiCl2.

Energy relative to the elements, uncorrected ... 0.0077 eV per atom
Fermi-level density of states ... 13.95 states/eV per cell
ΔE to the lowest computed polymorph ... 554.3 meV per atom
Energy ... -5.324 eV per atom

Unit cell a=3.0276 b=3.0276 c=31.7348 alpha=90.00 beta=90.00 gamma=120.00
Space group R-3m (No. 166, hexagonal axes)
Asymmetric unit:
Ta  0.0000  0.0000  0.0000 [3 per cell]
Ni  0.0000  0.0000  0.5000 [3 per cell]
Cl  0.0000  0.0000  0.2756 [6 per cell]


# 5
VASP calculation (PBE) on a relaxed structure of TaNiCl2.

Energy relative to the elements, uncorrected ... 0.0815 eV per atom
Fermi-level density of states ... 5.31 states/eV per cell
ΔE to the lowest computed polymorph ... 628.1 meV per atom
Energy ... -5.250 eV per atom

Unit cell a=2.953 b=4.661 c=12.234 alpha=90.00 beta=90.00 gamma=90.00
Space group Imm2 (No. 44)
Asymmetric unit:
Ta  0.000  0.000  0.000 [2 per cell]
Ni  0.000  0.500  0.340 [2 per cell]
Cl  0.000  0.000  0.488 [2 per cell]
Cl  0.000  0.500  0.672 [2 per cell]


# 6
VASP calculation (PBE) on a relaxed structure of TaNiCl2.

Energy relative to the elements, uncorrected ... -0.3724 eV per atom
Fermi-level density of states ... 1.71 states/eV per cell
ΔE to the lowest computed polymorph ... 174.1 meV per atom
Energy ... -5.704 eV per atom

Unit cell a=3.120 b=3.120 c=7.967 alpha=90.00 beta=90.00 gamma=90.00
Space group P4mm (No. 99)
Asymmetric unit:
Ta  0.000  0.000  0.000 [1 per cell]
Ni  0.500  0.500  0.828 [1 per cell]
Cl  0.000  0.000  0.676 [1 per cell]
Cl  0.500  0.500  0.222 [1 per cell]


# 7
VASP calculation (PBE) on a relaxed structure of TaNi2Cl.

Energy relative to the elements, uncorrected ... 0.5884 eV per atom
Fermi-level density of states ... 4.26 states/eV per cell
ΔE to the lowest computed polymorph ... 657.5 meV per atom
Energy ... -5.727 eV per atom

Unit cell a=3.594 b=3.594 c=4.302 alpha=90.00 beta=90.00 gamma=90.00
Space group P4/mmm (No. 123)
Asymmetric unit:
Ta  0.000  0.000  0.000 [1 per cell]
Ni  0.000  0.500  0.500 [2 per cell]
Cl  0.500  0.500  0.000 [1 per cell]


# 8
VASP calculation (PBE) on a relaxed structure of TaNi2Cl.

Energy relative to the elements, uncorrected ... 0.3763 eV per atom
Fermi-level density of states ... 4.38 states/eV per cell
ΔE to the lowest computed polymorph ... 445.4 meV per atom
Energy ... -5.939 eV per atom

Unit cell a=4.329 b=2.850 c=4.503 alpha=90.00 beta=90.12 gamma=90.00
Space group P2/m (No. 10)
Asymmetric unit:
Ta  0.000  0.000  0.000 [1 per cell]
Ni  0.000  0.500  0.500 [1 per cell]
Ni  0.500  0.000  0.500 [1 per cell]
Cl  0.500  0.500  0.000 [1 per cell]


# 9
VASP calculation (PBE) on a relaxed structure of TaNi2Cl.

Energy relative to the elements, uncorrected ... -0.0084 eV per atom
Fermi-level density of states ... 6.49 states/eV per cell
ΔE to the lowest computed polymorph ... 60.6 meV per atom
Energy ... -6.324 eV per atom

Unit cell a=7.773 b=3.083 c=6.293 alpha=90.00 beta=93.76 gamma=90.00
Space group Cm (No. 8)
Asymmetric unit:
Ta  0.000  0.000  0.000 [2 per cell]
Ni  0.058  0.500  0.691 [2 per cell]
Ni  0.279  0.000  0.846 [2 per cell]
Cl  0.056  0.500  0.318 [2 per cell]


# 10
VASP calculation (PBE) on a relaxed structure of TaNiCl2.

Energy relative to the elements, uncorrected ... 0.4401 eV per atom
Fermi-level density of states ... 7.49 states/eV per cell
ΔE to the lowest computed polymorph ... 986.6 meV per atom
Energy ... -4.892 eV per atom

Unit cell a=6.159 b=6.159 c=6.159 alpha=90.00 beta=90.00 gamma=90.00
Space group Fm-3m (No. 225)
Asymmetric unit:
Ta  0.000  0.000  0.000 [4 per cell]
Ni  0.000  0.000  0.500 [4 per cell]
Cl  0.250  0.250  0.250 [8 per cell]


# 11
VASP calculation (PBE) on a relaxed structure of TaNiCl2.

Energy relative to the elements, uncorrected ... 0.3983 eV per atom
Fermi-level density of states ... 3.60 states/eV per cell
ΔE to the lowest computed polymorph ... 944.9 meV per atom
Energy ... -4.934 eV per atom

Unit cell a=3.998 b=3.998 c=7.567 alpha=90.00 beta=90.00 gamma=90.00
Space group I4/mmm (No. 139)
Asymmetric unit:
Ta  0.000  0.000  0.000 [2 per cell]
Ni  0.000  0.000  0.500 [2 per cell]
Cl  0.000  0.500  0.250 [4 per cell]


# 12
VASP calculation (PBE) on a relaxed structure of TaNi2Cl.

Energy relative to the elements, uncorrected ... 0.0715 eV per atom
Fermi-level density of states ... 5.43 states/eV per cell
ΔE to the lowest computed polymorph ... 140.5 meV per atom
Energy ... -6.244 eV per atom

Unit cell a=3.034 b=3.034 c=7.278 alpha=90.00 beta=90.00 gamma=90.00
Space group P4mm (No. 99)
Asymmetric unit:
Ta  0.000  0.000  0.000 [1 per cell]
Ni  0.000  0.000  0.650 [1 per cell]
Ni  0.500  0.500  0.811 [1 per cell]
Cl  0.500  0.500  0.251 [1 per cell]


# 13
VASP calculation (PBE) on a relaxed structure of TaNiCl2.

Energy relative to the elements, uncorrected ... 0.1806 eV per atom
Fermi-level density of states ... 8.02 states/eV per cell
ΔE to the lowest computed polymorph ... 727.1 meV per atom
Energy ... -5.151 eV per atom

Unit cell a=2.905 b=5.763 c=8.107 alpha=90.00 beta=90.00 gamma=90.00
Space group Cmmm (No. 65)
Asymmetric unit:
Ta  0.000  0.000  0.000 [2 per cell]
Ni  0.000  0.000  0.500 [2 per cell]
Cl  0.000  0.500  0.260 [4 per cell]


# 14
VASP calculation (PBE) on a relaxed structure of TaNi3Cl.

Energy relative to the elements, uncorrected ... 1.3655 eV per atom
Fermi-level density of states ... 5.01 states/eV per cell
ΔE to the lowest computed polymorph ... 527.3 meV per atom
Energy ... -4.843 eV per atom

Unit cell a=4.637 b=4.637 c=4.637 alpha=90.00 beta=90.00 gamma=90.00
Space group Pm-3m (No. 221)
Asymmetric unit:
Ta  0.000  0.000  0.000 [1 per cell]
Ni  0.000  0.000  0.500 [3 per cell]
Cl  0.500  0.500  0.500 [1 per cell]


# 15
VASP calculation (PBE) on a relaxed structure of TaNiCl2.

Energy relative to the elements, uncorrected ... 0.3853 eV per atom
Fermi-level density of states ... 2.12 states/eV per cell
ΔE to the lowest computed polymorph ... 931.9 meV per atom
Energy ... -4.946 eV per atom

Unit cell a=3.174 b=3.174 c=5.896 alpha=90.00 beta=90.00 gamma=90.00
Space group P4/mmm (No. 123)
Asymmetric unit:
Ta  0.000  0.000  0.000 [1 per cell]
Ni  0.000  0.000  0.500 [1 per cell]
Cl  0.500  0.500  0.245 [2 per cell]